(1)
Compound: Ni2H2Se
Source: Alexandria
Functional: GGA-PBE
Structure: optimized geometry

```
10
Lattice="3.019 0.000 0.000 0.000 3.019 0.000 0.000 0.000 10.080" Properties=species:S:1:pos:R:3 pbc="T T T"
Ni 0.000 0.000 1.610
Ni 0.000 0.000 8.469
Ni 1.509 1.509 3.429
Ni 1.509 1.509 6.650
H 0.000 1.509 2.520
H 0.000 1.509 7.560
H 1.509 0.000 2.520
H 1.509 0.000 7.560
Se 0.000 0.000 5.040
Se 1.509 1.509 0.000
```

## Properties
Final energy (hartree per atom): -0.1574

(2)
Compound: Ni2H2Se3
Source: Alexandria
Functional: GGA-PBE
Structure: optimized geometry

```
7
Lattice="4.001 0.000 0.000 -0.002 5.034 0.000 -0.275 -2.515 5.433" Properties=species:S:1:pos:R:3 pbc="T T T"
Ni 0.004 -0.002 1.281
Ni 3.720 2.521 4.152
H 1.268 0.013 3.978
H 2.456 2.506 1.455
Se -0.086 2.518 1.787
Se 2.001 0.000 0.000
Se 3.810 0.001 3.646
```

## Properties
Final energy (hartree per atom): -0.1512

(3)
Compound: NiHSe
Source: Alexandria
Functional: GGA-PBE
Structure: optimized geometry

```
6
Lattice="3.567 0.000 0.000 -1.355 3.341 0.000 -0.884 -1.813 8.766" Properties=species:S:1:pos:R:3 pbc="T T T"
Ni 0.000 0.000 0.000
Ni -0.307 0.204 7.422
H 1.856 1.119 3.509
H 2.274 0.792 4.043
Se 0.391 2.147 0.994
Se 1.504 -1.036 6.639
```

## Properties
Final energy (hartree per atom): -0.1603

(4)
Compound: Ni3H2Se4
Source: Alexandria
Functional: GGA-PBE
Structure: optimized geometry

```
9
Lattice="0.000 5.010 6.740 2.831 0.000 6.740 2.831 5.010 0.000" Properties=species:S:1:pos:R:3 pbc="T T T"
Ni 0.000 0.000 0.000
Ni 1.416 2.505 0.000
Ni 1.416 2.505 6.740
H 3.213 5.010 6.740
H 2.449 5.010 6.740
Se 2.831 1.651 5.113
Se 2.831 1.651 8.368
Se 2.831 8.369 5.113
Se 2.831 8.369 8.368
```

## Properties
Final energy (hartree per atom): -0.1602

Question: What is the formula in the first record?
Answer: Ni2H2Se

Question: The lowest final energy belongs to which entry?
Answer: NiHSe